Cu3BiSe2BrO8, relaxed, DFT PBEsol; space-group type = Pmmn (59); ΔE_f (raw) = -0.774 eV/atom
1.0
6.324 0.000 0.000
0.000 9.667 0.000
0.000 0.000 7.180
Cu Bi Se Br O
6 2 4 2 16
direct
0.000 0.000 0.000
0.000 0.500 0.000
0.250 0.250 0.206
0.500 0.000 0.000
0.500 0.500 0.000
0.750 0.750 0.794
0.250 0.250 0.747
0.750 0.750 0.253
0.250 0.556 0.396
0.250 0.944 0.396
0.750 0.056 0.604
0.750 0.444 0.604
0.250 0.750 0.842
0.750 0.250 0.158
0.037 0.583 0.247
0.037 0.917 0.247
0.250 0.113 0.009
0.250 0.120 0.414
0.250 0.380 0.414
0.250 0.387 0.009
0.463 0.583 0.247
0.463 0.917 0.247
0.537 0.083 0.753
0.537 0.417 0.753
0.750 0.613 0.991
0.750 0.620 0.586
0.750 0.880 0.586
0.750 0.887 0.991
0.963 0.083 0.753
0.963 0.417 0.753


Cd3AgF, relaxed, DFT PBEsol; space-group type = Pm-3m (221); ΔE_f (raw) = -0.037 eV/atom
1.0
5.159 0.000 0.000
0.000 5.159 0.000
0.000 0.000 5.159
Cd Ag F
3 1 1
direct
0.000 0.000 0.500
0.000 0.500 0.000
0.500 0.000 0.000
0.000 0.000 0.000
0.500 0.500 0.500


Cd2HgPb, relaxed, DFT PBEsol; energy above the most stable polymorph in this dataset = 0.130 eV/f.u.; space-group type = C2/m (12)
1.0
3.096 -5.387 0.000
3.096 5.387 0.000
-1.806 0.000 2.920
Cd Hg Pb
2 1 1
direct
0.000 0.500 0.000
0.500 0.000 0.000
0.000 0.000 0.500
0.500 0.500 0.500


Sc2In, relaxed, DFT PBEsol; space-group type = P6_3/mmc (194)
1.0
4.977 0.000 0.000
-2.489 4.310 0.000
0.000 0.000 6.194
Sc In
4 2
direct
0.000 0.000 0.000
0.000 0.000 0.500
0.333 0.667 0.250
0.667 0.333 0.750
0.333 0.667 0.750
0.667 0.333 0.250


Ge2BiS, relaxed, DFT PBEsol; space-group type = Fm-3m (225); ΔE_f (raw) = 0.275 eV/atom
1.0
0.000 3.470 3.470
3.470 0.000 3.470
3.470 3.470 0.000
Ge Bi S
2 1 1
direct
0.250 0.250 0.250
0.750 0.750 0.750
0.000 0.000 0.000
0.500 0.500 0.500


ScMn2Fe, relaxed, DFT PBEsol; energy above the most stable polymorph in this dataset = 0.000 eV/f.u.; space-group type = Pm (6)
1.0
2.665 0.000 0.000
0.000 3.768 0.000
-1.305 0.000 5.081
Sc Mn Fe
1 2 1
direct
0.000 0.000 0.000
0.283 0.500 0.684
0.486 0.000 0.510
0.682 0.500 0.275


no.,total magnetization (μB/f.u.),DOS(E_F) (states/eV/atom),total energy (eV/atom)
1,3.0,0.0385,-5.3647
2,0.0,0.2976,-1.8027
3,0.0,0.4106,-1.6754
4,0.5,1.2236,-5.8229
5,0.0,0.6073,-4.3614
6,1.1,1.3009,-8.5559